Here is an optimized crystal structure of Sb2PdSI from Alexandria via LeMat-Bulk. Energies are from PBE.

Results
Total energy   -16.37 eV for the cell shown
Energy relative to the lowest polymorph listed for this composition   0 meV per atom
Mass density   5.8 g/cm³

```
data_Sb2PdSI
_cell_length_a 5.263
_cell_length_b 5.263
_cell_length_c 5.281
_cell_angle_alpha 90.00
_cell_angle_beta 90.00
_cell_angle_gamma 90.00
_space_group_name_H-M_alt 'P 4/m m m'
_space_group_IT_number 123
_space_group_name_Hall '-P 4 2'
loop_
_atom_site_label
_atom_site_type_symbol
_atom_site_fract_x
_atom_site_fract_y
_atom_site_fract_z
Sb1 Sb 0.000 0.500 0.000
Pd1 Pd 0.000 0.000 0.000
S1 S 0.500 0.500 0.500
I1 I 0.000 0.000 0.500
```